Pm2Ho6Mg | GGA-PBE | optimized geometry

Computed properties:
Its density of states at the Fermi level is 1.417 states/eV per atom. For the total energy, the calculation gives -4.260 eV per atom. As for the density: 7.774 g/cm³. As for the spin magnetization: 0.00 μB per formula unit. For the formation enthalpy at 0 K, the calculation gives 0.02 eV per atom. The offset from the most stable computed form is 0 meV/atom.

abc: 5.0182 10.5358 10.5359
angles: 90.00 90.00 90.00
With the nearest neighbours (Å) after each atom.
Atoms (fractional coordinates):
Pm 0.9998 0.3351 0.8352  10 Ho 3.50-3.54, 2 Mg 3.51
Ho 0.5001 0.8323 0.3322  4 Pm 3.50-3.54, 6 Ho 3.51-3.53, 2 Mg 3.54
Ho 0.4999 0.1659 0.0006  8 Ho 3.50-3.53, 1 Mg 3.52, 3 Pm 3.53-3.54
Mg 0.5000 0.5000 0.0000  4 Pm 3.51, 8 Ho 3.52-3.54
Ho 0.5000 0.5005 0.6659  8 Ho 3.49-3.53, 1 Mg 3.52, 3 Pm 3.53-3.54
Ho 0.0001 0.6677 0.8322  4 Pm 3.50-3.54, 6 Ho 3.51-3.53, 2 Mg 3.54
Mg 0.0000 0.0000 0.5000  4 Pm 3.51, 8 Ho 3.52-3.54
Ho 0.9999 0.3323 0.1678  4 Pm 3.50-3.54, 6 Ho 3.51-3.53, 2 Mg 3.54
Ho 0.0001 0.6659 0.4994  8 Ho 3.49-3.53, 1 Mg 3.52, 3 Pm 3.53-3.54
Ho 0.5001 0.8341 0.9994  8 Ho 3.50-3.53, 1 Mg 3.52, 3 Pm 3.53-3.54
Ho 0.0000 0.0005 0.8341  8 Ho 3.49-3.53, 1 Mg 3.52, 3 Pm 3.52-3.54
Pm 0.5002 0.8351 0.6648  10 Ho 3.50-3.54, 2 Mg 3.51
Ho 0.9999 0.3341 0.5006  8 Ho 3.49-3.53, 1 Mg 3.52, 3 Pm 3.53-3.54
Ho 0.0000 0.9995 0.1659  8 Ho 3.49-3.53, 1 Mg 3.52, 3 Pm 3.52-3.54
Ho 0.5000 0.4995 0.3341  8 Ho 3.49-3.53, 1 Mg 3.52, 3 Pm 3.53-3.54
Ho 0.4999 0.1677 0.6678  4 Pm 3.50-3.54, 6 Ho 3.51-3.53, 2 Mg 3.54
Pm 0.0002 0.6649 0.1648  10 Ho 3.50-3.54, 2 Mg 3.51
Pm 0.4998 0.1649 0.3352  10 Ho 3.50-3.54, 2 Mg 3.51

***

PmHo2Mg8 | GGA-PBE | optimized geometry

Computed properties:
Its density of states at the Fermi level is 0.573 states/eV per atom. For the total energy, the calculation gives -2.464 eV per atom. As for the density: 3.957 g/cm³. As for the spin magnetization: 0.00 μB per formula unit. For the formation enthalpy at 0 K, the calculation gives -0.04 eV per atom.

abc: 5.0534 7.3233 9.3266
angles: 120.95 105.72 90.00
With the nearest neighbours (Å) after each atom.
Atoms (fractional coordinates):
Mg 0.4102 0.2891 0.8204  4 Mg 3.01-3.19, 3 Ho 3.27-3.35, 1 Pm 3.28
Mg 0.8580 0.8725 0.7159  5 Mg 3.00-3.33, 1 Ho 3.34, 2 Pm 3.35
Mg 0.5898 0.7109 0.1796  4 Mg 3.01-3.19, 3 Ho 3.27-3.35, 1 Pm 3.28
Mg 0.0273 0.3370 0.0547  5 Mg 3.03-3.19, 1 Ho 3.33, 2 Pm 3.38
Mg 0.9727 0.6630 0.9453  5 Mg 3.03-3.19, 1 Ho 3.33, 2 Pm 3.38
Mg 0.3201 0.5375 0.6402  4 Mg 3.00-3.33, 1 Pm 3.20, 3 Ho 3.28-3.35
Mg 0.1420 0.1275 0.2841  5 Mg 3.00-3.33, 1 Ho 3.34, 2 Pm 3.35
Ho 0.2210 0.8054 0.4421  10 Mg 3.27-3.37, 2 Ho 3.52
Mg 0.6799 0.4625 0.3598  4 Mg 3.00-3.33, 1 Pm 3.20, 3 Ho 3.28-3.35
Pm 0.5000 0.0000 0.0000  12 Mg 3.20-3.38
Ho 0.7790 0.1946 0.5579  10 Mg 3.27-3.37, 2 Ho 3.52

***

Pm7Ho12Mg | GGA-PBE | optimized geometry

Computed properties:
Its density of states at the Fermi level is 1.537 states/eV per atom. For the total energy, the calculation gives -4.283 eV per atom. As for the density: 7.619 g/cm³. As for the spin magnetization: 0.00 μB per formula unit. For the formation enthalpy at 0 K, the calculation gives 0.21 eV per atom.

abc: 8.7150 8.7150 8.7150
angles: 86.26 86.26 86.26
With the nearest neighbours (Å) after each atom.
Atoms (fractional coordinates):
Pm 0.0810 0.1509 0.3974  3 Pm 3.41-3.43, 7 Ho 3.48-3.78
Mg 0.0000 0.0000 0.0000  6 Ho 3.28
Ho 0.3860 0.8620 0.4999  4 Ho 3.22-3.46, 2 Pm 3.25-3.48
Pm 0.8491 0.6026 0.9190  3 Pm 3.41-3.43, 7 Ho 3.48-3.78
Ho 0.2478 0.7379 0.8582  1 Mg 3.28, 6 Ho 3.29-3.65, 2 Pm 3.56
Pm 0.5000 0.5000 0.5000  6 Ho 3.25
Ho 0.8620 0.4999 0.3860  4 Ho 3.22-3.46, 2 Pm 3.25-3.48
Pm 0.6026 0.9190 0.8491  3 Pm 3.41-3.43, 7 Ho 3.48-3.78
Ho 0.1418 0.7522 0.2621  1 Mg 3.28, 6 Ho 3.29-3.65, 2 Pm 3.56
Pm 0.3974 0.0810 0.1509  3 Pm 3.41-3.43, 7 Ho 3.48-3.78
Ho 0.8582 0.2478 0.7379  1 Mg 3.28, 6 Ho 3.29-3.65, 2 Pm 3.56
Ho 0.1380 0.5001 0.6140  4 Ho 3.22-3.46, 2 Pm 3.25-3.48
Ho 0.6140 0.1380 0.5001  4 Ho 3.22-3.46, 2 Pm 3.25-3.48
Ho 0.7522 0.2621 0.1418  1 Mg 3.28, 6 Ho 3.29-3.65, 2 Pm 3.56
Ho 0.5001 0.6140 0.1380  4 Ho 3.22-3.46, 2 Pm 3.25-3.48
Ho 0.2621 0.1418 0.7522  1 Mg 3.28, 6 Ho 3.29-3.65, 2 Pm 3.56
Pm 0.9190 0.8491 0.6026  3 Pm 3.41-3.43, 7 Ho 3.48-3.78
Pm 0.1509 0.3974 0.0810  3 Pm 3.41-3.43, 7 Ho 3.48-3.78
Ho 0.4999 0.3860 0.8620  4 Ho 3.22-3.46, 2 Pm 3.25-3.48
Ho 0.7379 0.8582 0.2478  1 Mg 3.28, 6 Ho 3.29-3.65, 2 Pm 3.56

***

Pm3Ho3Mg2 | GGA-PBE | optimized geometry

Computed properties:
Its density of states at the Fermi level is 1.470 states/eV per atom. For the total energy, the calculation gives -3.824 eV per atom. As for the density: 6.552 g/cm³. As for the spin magnetization: 0.00 μB per formula unit. For the formation enthalpy at 0 K, the calculation gives 0.07 eV per atom.

abc: 5.3648 6.4604 15.7288
angles: 90.00 90.00 114.53
With the nearest neighbours (Å) after each atom.
Atoms (fractional coordinates):
Pm 0.4645 0.9290 0.2500  5 Ho 3.28-3.57, 2 Mg 3.37
Pm 0.6441 0.2882 0.0279  3 Mg 3.26-3.39, 1 Pm 3.50, 2 Ho 3.54
Pm 0.3559 0.7118 0.5279  3 Mg 3.26-3.39, 1 Pm 3.50, 2 Ho 3.54
Mg 0.7880 0.5760 0.6490  3 Ho 3.14-3.18, 1 Mg 3.18, 4 Pm 3.26-3.39
Ho 0.7436 0.4872 0.2500  4 Mg 3.14, 1 Pm 3.28, 2 Ho 3.37
Pm 0.6441 0.2882 0.4721  3 Mg 3.26-3.39, 1 Pm 3.50, 2 Ho 3.54
Ho 0.9495 0.8990 0.1011  1 Mg 3.18, 2 Ho 3.37-3.39, 2 Pm 3.54
Ho 0.9495 0.8990 0.3989  1 Mg 3.18, 2 Ho 3.37-3.39, 2 Pm 3.54
Pm 0.3559 0.7118 0.9721  3 Mg 3.26-3.39, 1 Pm 3.50, 2 Ho 3.54
Ho 0.0505 0.1010 0.8989  1 Mg 3.18, 2 Ho 3.37-3.39, 2 Pm 3.54
Mg 0.2120 0.4240 0.1490  3 Ho 3.14-3.18, 1 Mg 3.18, 4 Pm 3.26-3.39
Pm 0.5355 0.0710 0.7500  5 Ho 3.28-3.57, 2 Mg 3.37
Mg 0.7880 0.5760 0.8510  3 Ho 3.14-3.18, 1 Mg 3.18, 4 Pm 3.26-3.39
Ho 0.2564 0.5128 0.7500  4 Mg 3.14, 1 Pm 3.28, 2 Ho 3.37
Mg 0.2120 0.4240 0.3510  3 Ho 3.14-3.18, 1 Mg 3.18, 4 Pm 3.26-3.39
Ho 0.0505 0.1010 0.6011  1 Mg 3.18, 2 Ho 3.37-3.39, 2 Pm 3.54

***

Q: Number 1 is which compound?
A: Pm2Ho6Mg

***

Q: What is the formula in the fourth record?
A: Pm3Ho3Mg2

***

Q: Which value of spin magnetization does entry 4 give?
A: 0.00 μB per formula unit